VASP calculation (PBE) on crystalline RbNi2B at its relaxed geometry.

abc: 6.860 6.860 6.860
angles: 135.69 135.69 64.45
Element x y z (fractional)
Rb 0.375 0.625 0.750
Rb 0.625 0.375 0.250
Ni 0.000 0.000 0.000
Ni 0.000 0.000 0.500
Ni 0.000 0.500 0.000
Ni 0.500 0.000 0.500
B 0.125 0.875 0.250
B 0.875 0.125 0.750

Summary:
The calculation puts the final energy at -34.69 eV/cell. The calculation puts the density of states at the Fermi level at 3.93 states/eV/f.u. The formation energy comes out at 465.5 meV per atom.